#P
DFT (PBE) results for crystalline LaV3Ge at its relaxed geometry.

Calculated values
* SG: Pm-3m, No. 221

a b c (Å): 4.6075 4.6075 4.6075
angles (deg): 90.00 90.00 90.00
Positions (direct):
La1 0.0000 0.0000 0.0000
V1 0.0000 0.0000 0.5000
V2 0.0000 0.5000 0.0000
V3 0.5000 0.0000 0.0000
Ge1 0.5000 0.5000 0.5000

---

#Q
DFT (PBE) results for crystalline LaV3Ge at its relaxed geometry.

Calculated values
* SG: Pm-3m, No. 221

a b c (Å): 4.8072 4.8072 4.8072
angles (deg): 90.00 90.00 90.00
Positions (direct):
La1 0.0000 0.0000 0.0000
V1 0.0000 0.5000 0.5000
V2 0.5000 0.0000 0.5000
V3 0.5000 0.5000 0.0000
Ge1 0.5000 0.5000 0.5000

---

Stability summary - winner: #Q; margin: 1085 meV per atom.

---

#P
DFT (PBE) results for crystalline LaGe3W at its relaxed geometry.

Calculated values
* SG: Pm-3m, No. 221

a b c (Å): 4.9003 4.9003 4.9003
angles (deg): 90.00 90.00 90.00
Positions (direct):
La1 0.0000 0.0000 0.0000
Ge1 0.0000 0.5000 0.5000
Ge2 0.5000 0.0000 0.5000
Ge3 0.5000 0.5000 0.0000
W1 0.5000 0.5000 0.5000

---

#Q
DFT (PBE) results for crystalline LaGe3W at its relaxed geometry.

Calculated values
* SG: Pm-3m, No. 221

a b c (Å): 5.2958 5.2958 5.2958
angles (deg): 90.00 90.00 90.00
Positions (direct):
La1 0.0000 0.0000 0.0000
Ge1 0.0000 0.0000 0.5000
Ge2 0.0000 0.5000 0.0000
Ge3 0.5000 0.0000 0.0000
W1 0.5000 0.5000 0.5000

---

Stability summary - winner: #P; margin: 2243 meV per atom.

---

#P
DFT (PBE) results for crystalline LaGeW3 at its relaxed geometry.

Calculated values
* SG: Pm-3m, No. 221

a b c (Å): 4.7743 4.7743 4.7743
angles (deg): 90.00 90.00 90.00
Positions (direct):
La1 0.0000 0.0000 0.0000
Ge1 0.5000 0.5000 0.5000
W1 0.0000 0.5000 0.5000
W2 0.5000 0.0000 0.5000
W3 0.5000 0.5000 0.0000

---

#Q
DFT (PBE) results for crystalline LaGeW3 at its relaxed geometry.

Calculated values
* SG: Pm-3m, No. 221

a b c (Å): 4.8962 4.8962 4.8962
angles (deg): 90.00 90.00 90.00
Positions (direct):
La1 0.0000 0.0000 0.0000
Ge1 0.5000 0.5000 0.5000
W1 0.0000 0.0000 0.5000
W2 0.0000 0.5000 0.0000
W3 0.5000 0.0000 0.0000

---

Stability summary - winner: #P; margin: 1733 meV per atom.

---

#P
DFT (PBE) results for crystalline LaY2Ge2 at its relaxed geometry.

Calculated values
* SG: I4/mmm, No. 139

a b c (Å): 4.5837 4.5837 12.7358
angles (deg): 90.00 90.00 90.00
Positions (direct):
La1 0.0000 0.0000 0.0000
La2 0.5000 0.5000 0.5000
Y1 0.0000 0.5000 0.2500
Y2 0.0000 0.5000 0.7500
Y3 0.5000 0.0000 0.2500
Y4 0.5000 0.0000 0.7500
Ge1 0.0000 0.0000 0.3998
Ge2 0.0000 0.0000 0.6002
Ge3 0.5000 0.5000 0.1002
Ge4 0.5000 0.5000 0.8998

---

#Q
DFT (PBE) results for crystalline LaY2Ge2 at its relaxed geometry.

Calculated values
* SG: P4/mbm, No. 127

a b c (Å): 8.3025 8.3025 3.8011
angles (deg): 90.00 90.00 90.00
Positions (direct):
La1 0.0000 0.0000 0.0000
La2 0.5000 0.5000 0.0000
Y1 0.1484 0.3516 0.5000
Y2 0.3516 0.8516 0.5000
Y3 0.6484 0.1484 0.5000
Y4 0.8516 0.6484 0.5000
Ge1 0.1532 0.6532 0.0000
Ge2 0.3468 0.1532 0.0000
Ge3 0.6532 0.8468 0.0000
Ge4 0.8468 0.3468 0.0000

---

Stability summary - winner: #Q; margin: 46 meV per atom.